First-principles (PBE with a Hubbard U) data for a geometry-optimized ScNiF2 structure, as listed in Alexandria.

Cell and atoms, written as POSCAR:
```
ScNiF2
1.0
1.953 0.000 6.169
-0.976 1.691 6.169
-0.976 -1.691 6.169
Sc F Ni
1 2 1
direct
0.000 0.000 0.000
0.886 0.886 0.886
0.114 0.114 0.114
0.500 0.500 0.500
```

Properties
Volume ... 15.28 Å³/atom
Symmetry ... R-3m (166)
Total energy ... -4.593 eV per atom
Spin magnetization ... 0.28 μB/atom
D(E_F) ... 3.802 states/eV per cell